[1]
A plane-wave DFT calculation with GGA-PBE was carried out for Pm3DyAg after structural relaxation.

```
10
Lattice="-0.987 -5.045 -5.014 6.612 2.641 -0.932 0.695 -2.389 7.743" Properties=species:S:1:pos:R:3 pbc="T T T"
Pm 5.770 -1.953 -3.456
Pm 2.476 -0.545 0.026
Pm 3.845 -4.248 1.771
Pm 2.385 -3.023 -2.641
Pm 0.550 -2.840 5.253
Pm 3.935 -1.770 4.438
Dy 0.361 -5.074 2.393
Dy 5.959 0.281 -0.596
Ag 4.735 -2.465 -0.644
Ag 1.585 -2.328 2.441
```

Properties
calculated formation energy: 0.055 eV/atom
theoretical density: 7.1 Mg/m³
symmetry: C2/m

***

[2]
A plane-wave DFT calculation with GGA-PBE was carried out for PmDyAg3 after structural relaxation.

```
10
Lattice="3.531 0.000 -0.486 0.000 4.801 0.000 0.150 0.000 14.157" Properties=species:S:1:pos:R:3 pbc="T T T"
Pm 3.395 3.601 11.589
Pm 0.287 1.200 2.082
Dy 0.803 3.601 5.831
Dy 2.878 1.200 7.840
Ag 2.232 3.601 3.144
Ag 1.449 1.200 10.527
Ag 1.857 3.601 0.419
Ag 1.825 1.200 13.252
Ag 2.448 1.200 4.714
Ag 1.233 3.601 8.957
```

Properties
energy relative to the lowest polymorph listed for this composition: 0 meV per atom
calculated formation energy: -0.259 eV/atom
theoretical density: 8.7 Mg/m³
symmetry: Cmcm

***

[3]
A plane-wave DFT calculation with GGA-PBE was carried out for Pm5Dy4Ag after structural relaxation.

```
10
Lattice="3.617 0.000 0.000 0.000 3.617 0.000 0.000 0.000 24.187" Properties=species:S:1:pos:R:3 pbc="T T T"
Pm 1.809 1.809 1.983
Pm 1.809 1.809 7.038
Pm 1.809 1.809 12.094
Pm 1.809 1.809 17.149
Pm 1.809 1.809 22.204
Dy 0.000 0.000 4.541
Dy 0.000 0.000 9.566
Dy 0.000 0.000 14.621
Dy 0.000 0.000 19.646
Ag 0.000 0.000 0.000
```

Properties
calculated formation energy: -0.032 eV/atom
theoretical density: 7.8 Mg/m³
symmetry: P4/mmm

***

[4]
A plane-wave DFT calculation with GGA-PBE was carried out for Pm2DyAg2 after structural relaxation.

```
10
Lattice="3.672 0.000 -0.491 0.000 5.319 0.000 -0.019 0.000 13.801" Properties=species:S:1:pos:R:3 pbc="T T T"
Pm 0.169 3.989 1.279
Pm 3.484 1.330 12.030
Pm 0.854 3.989 6.356
Pm 2.799 1.330 6.954
Dy 3.125 3.989 9.375
Dy 0.528 1.330 3.935
Ag 2.351 3.989 3.591
Ag 1.302 1.330 9.719
Ag 1.636 3.989 12.180
Ag 2.017 1.330 1.129
```

Properties
energy relative to the lowest polymorph listed for this composition: 0 meV per atom
calculated formation energy: -0.202 eV/atom
theoretical density: 8.2 Mg/m³
symmetry: Cmcm